1.
DFT (PBE) results for crystalline SrCaAlAu at its relaxed geometry.

Cell: 5.3615 5.3615 5.3615 Å, 60.00 60.00 60.00°
Last column: nearest neighbours and their distance in Å.
Positions (direct):
Al (0.2500, 0.2500, 0.2500)  4 Ca 3.28, 4 Sr 3.28
Au (0.7500, 0.7500, 0.7500)  4 Ca 3.28, 4 Sr 3.28
Ca (0.5000, 0.5000, 0.5000)  4 Al 3.28, 4 Au 3.28
Sr (0.0000, 0.0000, 0.0000)  4 Al 3.28, 4 Au 3.28

Properties
The value obtained for the energy is -3.06 eV per atom. For the density of states at the Fermi level, the calculation gives 2.45 states/eV/f.u. The magnetization is 0.000 μB/atom. The offset from the most stable computed form comes out at 102 meV per atom. The formation enthalpy at 0 K is -0.38 eV/atom.

=====

2.
DFT (PBE) results for crystalline CdIr2PtAu at its relaxed geometry.

Cell: 4.8814 4.8769 4.8814 Å, 90.00 90.00 90.00°
Last column: nearest neighbours and their distance in Å.
Positions (direct):
Ir (0.0000, 0.0000, 0.5000)  2 Cd 2.44
Au (0.5000, 0.5000, 0.5000)  8 Ir 3.45, 4 Pt 3.45
Cd (0.0000, 0.0000, 0.0000)  2 Pt 2.44, 4 Ir 2.44
Ir (0.5000, 0.0000, 0.0000)  2 Cd 2.44
Pt (0.0000, 0.5000, 0.0000)  2 Cd 2.44

Properties
The value obtained for the energy is -3.49 eV per atom. For the density of states at the Fermi level, the calculation gives 7.77 states/eV/f.u. The magnetization is 0.481 μB/atom. The formation enthalpy at 0 K is 2.10 eV/atom.

=====

3.
DFT (PBE) results for crystalline ZnFeAu2 at its relaxed geometry.

Cell: 4.6875 4.6875 5.0830 Å, 80.36 80.36 35.62°
Last column: nearest neighbours and their distance in Å.
Positions (direct):
Au (0.0024, 0.0024, 0.9961)  3 Fe 2.74-2.76, 3 Zn 2.75-2.79, 6 Au 2.87-2.95
Au (0.4976, 0.4976, 0.5039)  3 Fe 2.74-2.76, 3 Zn 2.75-2.79, 6 Au 2.87-2.95
Zn (0.2500, 0.2500, 0.2500)  6 Au 2.75-2.79, 2 Zn 2.87, 4 Fe 2.92
Fe (0.7500, 0.7500, 0.7500)  6 Au 2.74-2.76, 2 Fe 2.87, 4 Zn 2.92

Properties
The value obtained for the energy is -3.99 eV per atom. For the density of states at the Fermi level, the calculation gives 2.50 states/eV/f.u. The magnetization is 0.728 μB/atom. The formation enthalpy at 0 K is 0.08 eV/atom.

=====

4.
DFT (PBE) results for crystalline PmInGaSn at its relaxed geometry.

Cell: 4.4477 4.5851 4.8115 Å, 90.00 90.00 90.00°
Last column: nearest neighbours and their distance in Å.
Positions (direct):
Pm (0.5000, 0.0000, 0.5000)  4 Ga 3.19, 4 Sn 3.28, 4 In 3.32
Sn (0.0000, 0.0000, 0.0000)  4 In 3.19, 4 Pm 3.28, 4 Ga 3.32
Ga (0.0000, 0.5000, 0.5000)  4 Pm 3.19, 4 In 3.28, 4 Sn 3.32
In (0.5000, 0.5000, 0.0000)  4 Sn 3.19, 4 Ga 3.28, 4 Pm 3.32

Properties
The value obtained for the energy is -4.13 eV per atom. For the density of states at the Fermi level, the calculation gives 1.68 states/eV/f.u. The magnetization is 0.000 μB/atom. The formation enthalpy at 0 K is -0.50 eV/atom.

=====

5.
DFT (PBE) results for crystalline AgGeAu2 at its relaxed geometry.

Cell: 5.1664 9.5821 7.7921 Å, 123.51 102.42 100.92°
Last column: nearest neighbours and their distance in Å.
Positions (direct):
Au (0.3118, 0.5646, 0.6257)  3 Ge 2.90-2.91, 3 Ag 2.92-2.95, 6 Au 2.97-3.00
Au (0.4378, 0.1827, 0.8744)  3 Ge 2.88-2.91, 3 Ag 2.92-2.97, 6 Au 2.98-2.99
Au (0.5622, 0.8173, 0.1256)  3 Ge 2.88-2.91, 3 Ag 2.92-2.97, 6 Au 2.98-2.99
Ag (0.1891, 0.4391, 0.8783)  6 Au 2.93-2.97, 5 Ag 2.94-2.98, 1 Ge 2.96
Au (0.1861, 0.9389, 0.3743)  3 Ge 2.90-2.91, 3 Ag 2.92-2.95, 6 Au 2.97-3.00
Ge (0.9420, 0.1920, 0.3839)  6 Au 2.90-2.91, 3 Ag 2.96-2.98, 3 Ge 3.02-3.03
Ge (0.0580, 0.8081, 0.6161)  6 Au 2.90-2.91, 3 Ag 2.96-2.98, 3 Ge 3.02-3.03
Ag (0.4347, 0.6847, 0.3694)  6 Au 2.92-2.95, 3 Ag 2.94-2.98, 3 Ge 2.98-3.04
Ag (0.5653, 0.3153, 0.6306)  6 Au 2.92-2.95, 3 Ag 2.94-2.98, 3 Ge 2.98-3.04
Au (0.9365, 0.6916, 0.8744)  3 Ge 2.88-2.91, 3 Ag 2.92-2.97, 6 Au 2.98-2.99
Ge (0.6886, 0.9386, 0.8772)  6 Au 2.88-2.90, 5 Ge 2.97-3.03, 1 Ag 3.04
Au (0.6882, 0.4354, 0.3743)  3 Ge 2.90-2.91, 3 Ag 2.92-2.95, 6 Au 2.97-3.00
Au (0.8139, 0.0611, 0.6257)  3 Ge 2.90-2.91, 3 Ag 2.92-2.95, 6 Au 2.97-3.00
Ag (0.8109, 0.5609, 0.1217)  6 Au 2.93-2.97, 5 Ag 2.94-2.98, 1 Ge 2.96
Au (0.0635, 0.3084, 0.1256)  3 Ge 2.88-2.91, 3 Ag 2.92-2.97, 6 Au 2.98-2.99
Ge (0.3114, 0.0614, 0.1228)  6 Au 2.88-2.90, 5 Ge 2.97-3.03, 1 Ag 3.04

Properties
The value obtained for the energy is -3.45 eV per atom. For the density of states at the Fermi level, the calculation gives 1.29 states/eV/f.u. The magnetization is 0.000 μB/atom. The formation enthalpy at 0 K is 0.06 eV/atom.

=====

6.
DFT (PBE) results for crystalline YCu2Os at its relaxed geometry.

Cell: 4.1527 4.1527 9.3620 Å, 77.19 77.19 90.00°
Last column: nearest neighbours and their distance in Å.
Positions (direct):
Y (0.2500, 0.7500, 0.5000)  4 Cu 2.89, 4 Os 2.94
Y (0.5000, 0.5000, 0.0000)  4 Cu 2.89, 4 Os 2.94
Os (0.7500, 0.2500, 0.5000)  4 Cu 2.51
Cu (0.7431, 0.1250, 0.2500)  2 Cu 2.35, 2 Os 2.51
Os (0.0000, 0.0000, 0.0000)  4 Cu 2.51
Cu (0.8750, 0.9931, 0.7500)  2 Cu 2.35, 2 Os 2.51
Cu (0.3750, 0.2569, 0.7500)  2 Cu 2.35, 2 Os 2.51
Cu (0.0069, 0.6250, 0.2500)  2 Cu 2.35, 2 Os 2.51

Properties
The value obtained for the energy is -6.06 eV per atom. For the density of states at the Fermi level, the calculation gives 2.49 states/eV/f.u. The magnetization is 0.000 μB/atom. The offset from the most stable computed form comes out at 308 meV per atom. The formation enthalpy at 0 K is 0.41 eV/atom.

=====

- Number 3 is which compound?
  ZnFeAu2

=====

- formation enthalpy at 0 K of number 1 (SrCaAlAu)?
  -0.38 eV/atom

=====

- Look up the energy of the first one.
  -3.06 eV per atom